# 1
Here is a relaxed structure of Cr2CdSe from Alexandria via LeMat-Bulk. Energies are from PBE.

The structure in POSCAR format:
```
Cr2CdSe
1.0
4.1868 0.0000 0.0000
0.0000 4.1868 0.0000
0.0000 0.0000 17.3287
Cr Cd Se
8 4 4
Direct
0.1089 0.2500 0.1250
0.2500 0.6089 0.3750
0.2500 0.8911 0.8750
0.3911 0.2500 0.6250
0.6089 0.7500 0.6250
0.7500 0.1089 0.8750
0.7500 0.3911 0.3750
0.8911 0.7500 0.1250
0.0000 0.0000 0.5000
0.0000 0.5000 0.7500
0.5000 0.0000 0.2500
0.5000 0.5000 0.0000
0.0000 0.0000 0.0000
0.0000 0.5000 0.2500
0.5000 0.0000 0.7500
0.5000 0.5000 0.5000
```

Results
Electronic total energy in eV per cell: -83.45
ρ in g/cm³: 6.5
DOS(E_F) in states/eV/cell: 19.74
Distance to the lowest polymorph of the same formula in eV per atom: 0.528

=====

# 2
Here is a relaxed structure of Cr2BiB from Alexandria via LeMat-Bulk. Energies are from PBE.

The structure in POSCAR format:
```
Cr2BiB
1.0
4.5867 0.0000 0.0000
0.0000 4.5867 0.0000
0.0000 0.0000 13.4752
Cr Bi B
8 4 4
Direct
0.0466 0.2500 0.1250
0.2500 0.5466 0.3750
0.2500 0.9534 0.8750
0.4534 0.2500 0.6250
0.5466 0.7500 0.6250
0.7500 0.0466 0.8750
0.7500 0.4534 0.3750
0.9534 0.7500 0.1250
0.0000 0.0000 0.5000
0.0000 0.5000 0.7500
0.5000 0.0000 0.2500
0.5000 0.5000 0.0000
0.0000 0.0000 0.0000
0.0000 0.5000 0.2500
0.5000 0.0000 0.7500
0.5000 0.5000 0.5000
```

Results
Electronic total energy in eV per cell: -104.84
ρ in g/cm³: 7.6
E_form in eV/atom: 0.899
DOS(E_F) in states/eV/cell: 12.73
Distance to the lowest polymorph of the same formula in eV per atom: 0.000

=====

# 3
Here is a relaxed structure of Pa2SnSb2N2 from Alexandria via LeMat-Bulk. Energies are from PBE.

The structure in POSCAR format:
```
Pa2SnSb2N2
1.0
3.7784 0.0000 0.0000
-1.8892 3.2722 0.0000
0.0000 0.0000 13.3531
Pa Sn Sb N
2 1 2 2
Direct
0.3333 0.6667 0.2941
0.6667 0.3333 0.7059
0.0000 0.0000 0.5000
0.0000 0.0000 0.1034
0.0000 0.0000 0.8966
0.3333 0.6667 0.7016
0.6667 0.3333 0.2984
```

Results
Electronic total energy in eV per cell: -52.40
ρ in g/cm³: 8.6
DOS(E_F) in states/eV/cell: 4.52

=====

# 4
Here is a relaxed structure of GaReHg2S from Alexandria via LeMat-Bulk. Energies are from PBE.

The structure in POSCAR format:
```
GaReHg2S
1.0
5.3174 0.0000 0.0000
0.0000 5.3174 0.0000
0.0000 0.0000 4.9643
Ga Re Hg S
1 1 2 1
Direct
0.0000 0.0000 0.0000
0.0000 0.0000 0.5000
0.0000 0.5000 0.5000
0.5000 0.0000 0.5000
0.5000 0.5000 0.0000
```

Results
Electronic total energy in eV per cell: -15.06
ρ in g/cm³: 8.2
DOS(E_F) in states/eV/cell: 3.05

=====

# 5
Here is a relaxed structure of SrTeIr3 from Alexandria via LeMat-Bulk. Energies are from PBE.

The structure in POSCAR format:
```
SrTeIr3
1.0
4.9434 0.0000 0.0000
0.0000 4.9434 0.0000
0.0000 0.0000 4.9434
Sr Te Ir
1 1 3
Direct
0.0000 0.0000 0.0000
0.5000 0.5000 0.5000
0.0000 0.5000 0.5000
0.5000 0.0000 0.5000
0.5000 0.5000 0.0000
```

Results
Electronic total energy in eV per cell: -27.50
ρ in g/cm³: 10.9
DOS(E_F) in states/eV/cell: 9.88
Distance to the lowest polymorph of the same formula in eV per atom: 0.000

=====

# 6
Here is a relaxed structure of Dy2BeF8 from Alexandria via LeMat-Bulk. Energies are from PBE.

The structure in POSCAR format:
```
Dy2BeF8
1.0
4.5002 -3.5003 0.0000
4.5002 3.5003 0.0000
-1.3922 0.0000 4.2482
Dy Be F
2 1 8
Direct
0.1837 0.1837 0.3661
0.8163 0.8163 0.6339
0.5000 0.5000 0.0000
0.0857 0.0857 0.7994
0.1773 0.5512 0.7302
0.3872 0.3872 0.2060
0.4488 0.8227 0.2698
0.5512 0.1773 0.7302
0.6128 0.6128 0.7940
0.8227 0.4488 0.2698
0.9143 0.9143 0.2006
```

Results
Electronic total energy in eV per cell: -69.95
ρ in g/cm³: 6.0
DOS(E_F) in states/eV/cell: 0.00

=====

# 7
Here is a relaxed structure of Er6TmIn3 from Alexandria via LeMat-Bulk. Energies are from PBE.

The structure in POSCAR format:
```
Er6TmIn3
1.0
5.2113 -7.6258 0.0000
5.2113 7.6258 0.0000
0.0000 0.0000 7.5602
Er Tm In
12 2 6
Direct
0.0451 0.9549 0.5000
0.0770 0.4509 0.9980
0.2329 0.2989 0.6876
0.2989 0.2329 0.1876
0.3015 0.6985 0.6536
0.4509 0.0770 0.4980
0.5491 0.9230 0.9980
0.6985 0.3015 0.1536
0.7011 0.7671 0.6876
0.7671 0.7011 0.1876
0.9230 0.5491 0.4980
0.9549 0.0451 0.0000
0.2024 0.7976 0.2114
0.7976 0.2024 0.7114
0.0116 0.2811 0.3602
0.2811 0.0116 0.8602
0.4464 0.5536 0.9697
0.5536 0.4464 0.4697
0.7189 0.9884 0.3602
0.9884 0.7189 0.8602
```

Results
Electronic total energy in eV per cell: -82.50
ρ in g/cm³: 8.4
E_form in eV/atom: -0.119
DOS(E_F) in states/eV/cell: 25.07

=====

# 8
Here is a relaxed structure of InTeI2N from Alexandria via LeMat-Bulk. Energies are from PBE.

The structure in POSCAR format:
```
InTeI2N
1.0
6.2794 0.0000 0.0000
0.0000 6.2794 0.0000
0.0000 0.0000 4.1004
In Te I N
1 1 2 1
Direct
0.0000 0.0000 0.0000
0.5000 0.5000 0.5000
0.0000 0.5000 0.5000
0.5000 0.0000 0.5000
0.5000 0.5000 0.0000
```

Results
Electronic total energy in eV per cell: -15.28
ρ in g/cm³: 5.2
DOS(E_F) in states/eV/cell: 0.63
Distance to the lowest polymorph of the same formula in eV per atom: 0.000

=====

Q: Which of these has the lowest electronic total energy?
A: Cr2BiB